# LiDyZrOs (PBE, optimized geometry)
# ΔE_f	-242	meV per atom
# raw total energy	-6.815	eV/atom
# density	9.72	g/cm3
data_LiDyZrOs
_space_group_name_H-M_alt 'F -4 3 m'
_space_group_IT_number 216
_space_group_name_Hall 'F -4 2 3'
_cell_length_a 6.7553
_cell_length_b 6.7553
_cell_length_c 6.7553
_cell_angle_alpha 90.00
_cell_angle_beta 90.00
_cell_angle_gamma 90.00
loop_
_atom_site_label
_atom_site_type_symbol
_atom_site_fract_x
_atom_site_fract_y
_atom_site_fract_z
Li1 Li 0.0000 0.0000 0.0000
Dy1 Dy 0.2500 0.2500 0.7500
Zr1 Zr 0.2500 0.2500 0.2500
Os1 Os 0.0000 0.0000 0.5000


# Li4DyP2 (PBE, optimized geometry)
# ΔE_f	-812	meV per atom
# raw total energy	-4.109	eV/atom
# density	3.80	g/cm3
data_Li4DyP2
_space_group_name_H-M_alt 'P 42/m n m'
_space_group_IT_number 136
_space_group_name_Hall '-P 4n 2n'
_cell_length_a 7.4242
_cell_length_b 7.4242
_cell_length_c 3.9981
_cell_angle_alpha 90.00
_cell_angle_beta 90.00
_cell_angle_gamma 90.00
loop_
_atom_site_label
_atom_site_type_symbol
_atom_site_fract_x
_atom_site_fract_y
_atom_site_fract_z
Li1 Li 0.0974 0.3356 0.0000
Dy1 Dy 0.0000 0.0000 0.5000
P1 P 0.2100 0.7900 0.0000


# LiDyPa2P4 (PBE, optimized geometry)
# ΔE_f	-1145	meV per atom
# raw total energy	-7.038	eV/atom
# density	7.13	g/cm3
data_LiDyPa2P4
_space_group_name_H-M_alt 'P 1 2/m 1'
_space_group_IT_number 10
_cell_length_a 6.7312
_cell_length_b 4.0084
_cell_length_c 6.9385
_cell_angle_alpha 90.00
_cell_angle_beta 110.04
_cell_angle_gamma 90.00
loop_
_space_group_symop_operation_xyz
'x,y,z'
'-x,-y,-z'
'-x,y,-z'
'x,-y,z'
loop_
_atom_site_label
_atom_site_type_symbol
_atom_site_fract_x
_atom_site_fract_y
_atom_site_fract_z
Li1 Li 0.0000 0.0000 0.0000
Dy1 Dy 0.0000 0.5000 0.5000
Pa1 Pa 0.5000 0.0000 0.5000
Pa2 Pa 0.5000 0.5000 0.0000
P1 P 0.2544 0.0000 0.7538
P2 P 0.2593 0.5000 0.2522


# LiDy2PPb (PBE, optimized geometry)
# ΔE_f	-831	meV per atom
# raw total energy	-4.878	eV/atom
# density	7.73	g/cm3
data_LiDy2PPb
_space_group_name_H-M_alt 'P 1 21/m 1'
_space_group_IT_number 11
_cell_length_a 7.6195
_cell_length_b 4.0512
_cell_length_c 8.3155
_cell_angle_alpha 90.00
_cell_angle_beta 107.42
_cell_angle_gamma 90.00
loop_
_space_group_symop_operation_xyz
'x,y,z'
'-x,-y,-z'
'-x,y+1/2,-z'
'x,-y+1/2,z'
loop_
_atom_site_label
_atom_site_type_symbol
_atom_site_fract_x
_atom_site_fract_y
_atom_site_fract_z
Li1 Li 0.0479 0.2500 0.1459
Dy1 Dy 0.2651 0.7500 0.5172
Dy2 Dy 0.3770 0.7500 0.1124
P1 P 0.3540 0.2500 0.3269
Pb1 Pb 0.1807 0.2500 0.7947


# LiDyP2Pd5 (PBE, optimized geometry)
# ΔE_f	-765	meV per atom
# raw total energy	-5.576	eV/atom
# density	8.94	g/cm3
data_LiDyP2Pd5
_space_group_name_H-M_alt 'P 4/m m m'
_space_group_IT_number 123
_space_group_name_Hall '-P 4 2'
_cell_length_a 4.1313
_cell_length_b 4.1313
_cell_length_c 8.3134
_cell_angle_alpha 90.00
_cell_angle_beta 90.00
_cell_angle_gamma 90.00
loop_
_atom_site_label
_atom_site_type_symbol
_atom_site_fract_x
_atom_site_fract_y
_atom_site_fract_z
Li1 Li 0.0000 0.0000 0.0000
Dy1 Dy 0.0000 0.0000 0.5000
P1 P 0.5000 0.5000 0.3682
Pd1 Pd 0.0000 0.5000 0.2258
Pd2 Pd 0.5000 0.5000 0.0000


# Li2DyP2Pd2 (PBE, optimized geometry)
# ΔE_f	-958	meV per atom
# raw total energy	-5.191	eV/atom
# density	6.72	g/cm3
data_Li2DyP2Pd2
_space_group_name_H-M_alt 'R -3 m'
_space_group_IT_number 166
_space_group_name_Hall '-R 3 2"'
_cell_length_a 4.1232
_cell_length_b 4.1232
_cell_length_c 22.7010
_cell_angle_alpha 90.00
_cell_angle_beta 90.00
_cell_angle_gamma 120.00
loop_
_atom_site_label
_atom_site_type_symbol
_atom_site_fract_x
_atom_site_fract_y
_atom_site_fract_z
Li1 Li 0.0000 0.0000 0.1422
Dy1 Dy 0.0000 0.0000 0.0000
P1 P 0.0000 0.0000 0.2542
Pd1 Pd 0.0000 0.0000 0.4244


# LiDy2P3Pt12 (PBE, optimized geometry)
# ΔE_f	-487	meV per atom
# raw total energy	-6.034	eV/atom
# density	13.62	g/cm3
data_LiDy2P3Pt12
_space_group_name_H-M_alt 'R -3 m'
_space_group_IT_number 166
_space_group_name_Hall '-R 3 2"'
_cell_length_a 8.2772
_cell_length_b 8.2772
_cell_length_c 17.0470
_cell_angle_alpha 90.00
_cell_angle_beta 90.00
_cell_angle_gamma 120.00
loop_
_atom_site_label
_atom_site_type_symbol
_atom_site_fract_x
_atom_site_fract_y
_atom_site_fract_z
Li1 Li 0.0000 0.0000 0.0000
Dy1 Dy 0.0000 0.0000 0.3884
P1 P 0.0000 0.5000 0.5000
Pt1 Pt 0.9999 0.4999 0.3678
Pt2 Pt 0.0316 0.5158 0.8622


# LiDyP2Pt7 (PBE, optimized geometry)
# ΔE_f	-422	meV per atom
# raw total energy	-5.842	eV/atom
# density	12.70	g/cm3
data_LiDyP2Pt7
_space_group_name_H-M_alt 'I -4 m 2'
_space_group_IT_number 119
_space_group_name_Hall 'I -4 -2'
_cell_length_a 4.0786
_cell_length_b 4.0786
_cell_length_c 25.1087
_cell_angle_alpha 90.00
_cell_angle_beta 90.00
_cell_angle_gamma 90.00
loop_
_atom_site_label
_atom_site_type_symbol
_atom_site_fract_x
_atom_site_fract_y
_atom_site_fract_z
Li1 Li 0.0000 0.0000 0.0000
Dy1 Dy 0.0000 0.5000 0.7500
P1 P 0.0000 0.5000 0.1149
Pt1 Pt 0.0000 0.0000 0.1642
Pt2 Pt 0.0000 0.0000 0.3353
Pt3 Pt 0.0000 0.5000 0.0286
Pt4 Pt 0.0000 0.5000 0.2500


# LiDy2P3Pt4 (PBE, optimized geometry)
# ΔE_f	-976	meV per atom
# raw total energy	-6.127	eV/atom
# density	11.81	g/cm3
data_LiDy2P3Pt4
_space_group_name_H-M_alt 'P -4 m 2'
_space_group_IT_number 115
_cell_length_a 4.1186
_cell_length_b 4.1186
_cell_length_c 9.9903
_cell_angle_alpha 90.00
_cell_angle_beta 90.00
_cell_angle_gamma 90.00
loop_
_space_group_symop_operation_xyz
'x,y,z'
'y,-x,-z'
'-x,-y,z'
'-y,x,-z'
'-x,y,z'
'-y,-x,-z'
'x,-y,z'
'y,x,-z'
loop_
_atom_site_label
_atom_site_type_symbol
_atom_site_fract_x
_atom_site_fract_y
_atom_site_fract_z
Li1 Li 0.0000 0.0000 0.0000
Dy1 Dy 0.0000 0.5000 0.7423
P1 P 0.0000 0.5000 0.3600
P2 P 0.5000 0.5000 0.0000
Pt1 Pt 0.0000 0.0000 0.5000
Pt2 Pt 0.0000 0.5000 0.1293
Pt3 Pt 0.5000 0.5000 0.5000


# LiDy6P2S3 (PBE, optimized geometry)
# formation energy without anion corrections	-17.84	eV/f.u.
# raw total energy	-5.881	eV/atom
# density	7.09	g/cm3
data_LiDy6P2S3
_space_group_name_H-M_alt 'C 1 2/m 1'
_space_group_IT_number 12
_cell_length_a 17.3613
_cell_length_b 3.9707
_cell_length_c 7.9945
_cell_angle_alpha 90.00
_cell_angle_beta 104.29
_cell_angle_gamma 90.00
loop_
_space_group_symop_operation_xyz
'x,y,z'
'-x,-y,-z'
'-x,y,-z'
'x,-y,z'
'x+1/2,y+1/2,z'
'-x+1/2,-y+1/2,-z'
'-x+1/2,y+1/2,-z'
'x+1/2,-y+1/2,z'
loop_
_atom_site_label
_atom_site_type_symbol
_atom_site_fract_x
_atom_site_fract_y
_atom_site_fract_z
Li1 Li 0.0000 0.0000 0.0000
Dy1 Dy 0.0006 0.5000 0.7304
Dy2 Dy 0.1697 0.0000 0.5770
Dy3 Dy 0.1734 0.0000 0.0905
P1 P 0.1645 0.5000 0.3296
S1 S 0.0000 0.0000 0.5000
S2 S 0.1670 0.5000 0.8314


# LiDy2UP4 (PBE, optimized geometry)
# ΔE_f	-1076	meV per atom
# raw total energy	-6.581	eV/atom
# density	6.64	g/cm3
data_LiDy2UP4
_space_group_name_H-M_alt 'P 1 2/m 1'
_space_group_IT_number 10
_cell_length_a 6.7272
_cell_length_b 3.9776
_cell_length_c 6.8416
_cell_angle_alpha 90.00
_cell_angle_beta 108.53
_cell_angle_gamma 90.00
loop_
_space_group_symop_operation_xyz
'x,y,z'
'-x,-y,-z'
'-x,y,-z'
'x,-y,z'
loop_
_atom_site_label
_atom_site_type_symbol
_atom_site_fract_x
_atom_site_fract_y
_atom_site_fract_z
Li1 Li 0.0000 0.0000 0.0000
Dy1 Dy 0.0000 0.5000 0.5000
Dy2 Dy 0.5000 0.0000 0.5000
U1 U 0.5000 0.5000 0.0000
P1 P 0.2549 0.0000 0.7597
P2 P 0.2609 0.5000 0.2398


# LiDyPaRe (PBE, optimized geometry)
# ΔE_f	106	meV per atom
# raw total energy	-7.009	eV/atom
# density	11.61	g/cm3
data_LiDyPaRe
_space_group_name_H-M_alt 'F -4 3 m'
_space_group_IT_number 216
_space_group_name_Hall 'F -4 2 3'
_cell_length_a 6.9490
_cell_length_b 6.9490
_cell_length_c 6.9490
_cell_angle_alpha 90.00
_cell_angle_beta 90.00
_cell_angle_gamma 90.00
loop_
_atom_site_label
_atom_site_type_symbol
_atom_site_fract_x
_atom_site_fract_y
_atom_site_fract_z
Li1 Li 0.0000 0.0000 0.0000
Dy1 Dy 0.2500 0.2500 0.2500
Pa1 Pa 0.2500 0.2500 0.7500
Re1 Re 0.0000 0.0000 0.5000


# LiDyPaRu (PBE, optimized geometry)
# ΔE_f	-69	meV per atom
# raw total energy	-6.390	eV/atom
# density	10.05	g/cm3
data_LiDyPaRu
_space_group_name_H-M_alt 'F -4 3 m'
_space_group_IT_number 216
_space_group_name_Hall 'F -4 2 3'
_cell_length_a 6.9213
_cell_length_b 6.9213
_cell_length_c 6.9213
_cell_angle_alpha 90.00
_cell_angle_beta 90.00
_cell_angle_gamma 90.00
loop_
_atom_site_label
_atom_site_type_symbol
_atom_site_fract_x
_atom_site_fract_y
_atom_site_fract_z
Li1 Li 0.0000 0.0000 0.0000
Dy1 Dy 0.2500 0.2500 0.2500
Pa1 Pa 0.2500 0.2500 0.7500
Ru1 Ru 0.0000 0.0000 0.5000


# Li2Dy2PaS6 (PBE, optimized geometry)
# formation energy without anion corrections	-19.28	eV/f.u.
# raw total energy	-6.052	eV/atom
# density	5.05	g/cm3
data_Li2Dy2PaS6
_space_group_name_H-M_alt 'C 1 2/m 1'
_space_group_IT_number 12
_cell_length_a 6.8646
_cell_length_b 11.8464
_cell_length_c 6.5653
_cell_angle_alpha 90.00
_cell_angle_beta 110.20
_cell_angle_gamma 90.00
loop_
_space_group_symop_operation_xyz
'x,y,z'
'-x,-y,-z'
'-x,y,-z'
'x,-y,z'
'x+1/2,y+1/2,z'
'-x+1/2,-y+1/2,-z'
'-x+1/2,y+1/2,-z'
'x+1/2,-y+1/2,z'
loop_
_atom_site_label
_atom_site_type_symbol
_atom_site_fract_x
_atom_site_fract_y
_atom_site_fract_z
Li1 Li 0.0000 0.1694 0.0000
Dy1 Dy 0.0000 0.3351 0.5000
Pa1 Pa 0.0000 0.0000 0.5000
S1 S 0.2424 0.0000 0.2548
S2 S 0.2419 0.1679 0.7448


# LiDy2PaS6 (PBE, optimized geometry)
# formation energy without anion corrections	-14.08	eV/f.u.
# raw total energy	-5.945	eV/atom
# density	4.86	g/cm3
data_LiDy2PaS6
_space_group_name_H-M_alt 'P 4 m m'
_space_group_IT_number 99
_cell_length_a 6.3494
_cell_length_b 6.3494
_cell_length_c 6.3976
_cell_angle_alpha 90.00
_cell_angle_beta 90.00
_cell_angle_gamma 90.00
loop_
_space_group_symop_operation_xyz
'x,y,z'
'-y,x,z'
'-x,-y,z'
'y,-x,z'
'-x,y,z'
'y,x,z'
'x,-y,z'
'-y,-x,z'
loop_
_atom_site_label
_atom_site_type_symbol
_atom_site_fract_x
_atom_site_fract_y
_atom_site_fract_z
Li1 Li 0.0000 0.0000 0.0000
Dy1 Dy 0.0000 0.5000 0.4476
Pa1 Pa 0.5000 0.5000 0.0508
S1 S 0.0000 0.0000 0.6341
S2 S 0.2402 0.2402 0.2074
S3 S 0.5000 0.5000 0.6363


# LiDy2PaS4 (PBE, optimized geometry)
# formation energy without anion corrections	-14.29	eV/f.u.
# raw total energy	-6.426	eV/atom
# density	6.99	g/cm3
data_LiDy2PaS4
_space_group_name_H-M_alt 'P 1 2/m 1'
_space_group_IT_number 10
_cell_length_a 6.6663
_cell_length_b 3.8480
_cell_length_c 6.7711
_cell_angle_alpha 90.00
_cell_angle_beta 109.10
_cell_angle_gamma 90.00
loop_
_space_group_symop_operation_xyz
'x,y,z'
'-x,-y,-z'
'-x,y,-z'
'x,-y,z'
loop_
_atom_site_label
_atom_site_type_symbol
_atom_site_fract_x
_atom_site_fract_y
_atom_site_fract_z
Li1 Li 0.0000 0.0000 0.0000
Dy1 Dy 0.5000 0.0000 0.5000
Dy2 Dy 0.5000 0.5000 0.0000
Pa1 Pa 0.0000 0.5000 0.5000
S1 S 0.2421 0.5000 0.2435
S2 S 0.2460 0.0000 0.7573


# LiDy2PaS5 (PBE, optimized geometry)
# formation energy without anion corrections	-15.37	eV/f.u.
# raw total energy	-6.292	eV/atom
# density	6.46	g/cm3
data_LiDy2PaS5
_space_group_name_H-M_alt 'C m c 21'
_space_group_IT_number 36
_cell_length_a 3.8445
_cell_length_b 16.2537
_cell_length_c 11.9063
_cell_angle_alpha 90.00
_cell_angle_beta 90.00
_cell_angle_gamma 90.00
loop_
_space_group_symop_operation_xyz
'x,y,z'
'-x,-y,z+1/2'
'-x,y,z'
'x,-y,z+1/2'
'x+1/2,y+1/2,z'
'-x+1/2,-y+1/2,z+1/2'
'-x+1/2,y+1/2,z'
'x+1/2,-y+1/2,z+1/2'
loop_
_atom_site_label
_atom_site_type_symbol
_atom_site_fract_x
_atom_site_fract_y
_atom_site_fract_z
Li1 Li 0.0000 0.0147 0.0000
Dy1 Dy 0.0000 0.3735 0.8193
Dy2 Dy 0.0000 0.3914 0.2161
Pa1 Pa 0.0000 0.3003 0.5305
S1 S 0.0000 0.0025 0.3074
S2 S 0.0000 0.1342 0.5305
S3 S 0.0000 0.1878 0.8671
S4 S 0.0000 0.2118 0.1948
S5 S 0.0000 0.4529 0.5974


# Li4Dy3PaS8 (PBE, optimized geometry)
# formation energy without anion corrections	-27.66	eV/f.u.
# raw total energy	-5.727	eV/atom
# density	5.10	g/cm3
data_Li4Dy3PaS8
_space_group_name_H-M_alt 'R -3 m'
_space_group_IT_number 166
_space_group_name_Hall '-R 3 2"'
_cell_length_a 7.8025
_cell_length_b 7.8025
_cell_length_c 18.5767
_cell_angle_alpha 90.00
_cell_angle_beta 90.00
_cell_angle_gamma 120.00
loop_
_atom_site_label
_atom_site_type_symbol
_atom_site_fract_x
_atom_site_fract_y
_atom_site_fract_z
Li1 Li 0.0000 0.0000 0.0000
Li2 Li 0.0000 0.5000 0.0000
Dy1 Dy 0.0000 0.5000 0.5000
Pa1 Pa 0.0000 0.0000 0.5000
S1 S 0.0000 0.0000 0.2508
S2 S 0.0012 0.5006 0.2515


# LiDyPaS4 (PBE, optimized geometry)
# formation energy without anion corrections	-12.02	eV/f.u.
# raw total energy	-6.362	eV/atom
# density	4.91	g/cm3
data_LiDyPaS4
_space_group_name_H-M_alt 'I m m a'
_space_group_IT_number 74
_space_group_name_Hall '-I 2b 2'
_cell_length_a 7.9055
_cell_length_b 8.0333
_cell_length_c 11.2698
_cell_angle_alpha 90.00
_cell_angle_beta 90.00
_cell_angle_gamma 90.00
loop_
_atom_site_label
_atom_site_type_symbol
_atom_site_fract_x
_atom_site_fract_y
_atom_site_fract_z
Li1 Li 0.0000 0.2500 0.1320
Dy1 Dy 0.2500 0.2500 0.7500
Pa1 Pa 0.0000 0.0000 0.5000
S1 S 0.0000 0.0129 0.7401
S2 S 0.2356 0.2500 0.5060


# LiDyPa2S4 (PBE, optimized geometry)
# formation energy without anion corrections	-13.11	eV/f.u.
# raw total energy	-6.891	eV/atom
# density	7.75	g/cm3
data_LiDyPa2S4
_space_group_name_H-M_alt 'P 1 2/m 1'
_space_group_IT_number 10
_cell_length_a 6.4967
_cell_length_b 3.7743
_cell_length_c 6.9860
_cell_angle_alpha 90.00
_cell_angle_beta 108.21
_cell_angle_gamma 90.00
loop_
_space_group_symop_operation_xyz
'x,y,z'
'-x,-y,-z'
'-x,y,-z'
'x,-y,z'
loop_
_atom_site_label
_atom_site_type_symbol
_atom_site_fract_x
_atom_site_fract_y
_atom_site_fract_z
Li1 Li 0.0000 0.0000 0.0000
Dy1 Dy 0.5000 0.5000 0.0000
Pa1 Pa 0.0000 0.5000 0.5000
Pa2 Pa 0.5000 0.0000 0.5000
S1 S 0.2381 0.5000 0.2360
S2 S 0.2445 0.0000 0.7614